# 1
Mg: relaxed, PBE-GGA.

a b c (Å): 5.768 5.768 4.855
angles (deg): 90.00 90.00 141.88
Atoms (fractional coordinates):
Mg (0.361, 0.639, 0.500)
Mg (0.861, 0.139, 0.000)
Mg (0.639, 0.361, 0.500)
Mg (0.139, 0.861, 0.000)

Computed properties:
E_tot, eV/atom: -1.426
Calculated volume, Å³/cell: 99.7
Excess energy over the best structure of this formula in the dataset, eV/atom: 0.169
Space group: No. 69


# 2
Y4Cu3Os: relaxed, PBE-GGA.

a b c (Å): 4.892 6.959 9.784
angles (deg): 90.00 90.00 90.00
Atoms (fractional coordinates):
Cu (0.000, 0.000, 0.000)
Cu (0.500, 0.000, 0.250)
Y (0.000, 0.258, 0.250)
Y (0.000, 0.742, 0.750)
Y (0.000, 0.742, 0.250)
Y (0.500, 0.742, 0.500)
Os (0.000, 0.500, 0.000)
Cu (0.500, 0.000, 0.750)
Cu (0.500, 0.500, 0.750)
Cu (0.500, 0.500, 0.250)
Y (0.000, 0.258, 0.750)
Os (0.000, 0.500, 0.500)
Cu (0.000, 0.000, 0.500)
Y (0.500, 0.742, 0.000)
Y (0.500, 0.258, 0.500)
Y (0.500, 0.258, 0.000)

Computed properties:
E_tot, eV/atom: -6.413
Calculated volume, Å³/cell: 333.1
Space group: No. 123


# 3
Li2AlH: relaxed, PBE-GGA.

a b c (Å): 4.402 4.402 4.402
angles (deg): 60.00 60.00 60.00
Atoms (fractional coordinates):
H (0.000, 0.000, 0.000)
Li (0.250, 0.250, 0.250)
Li (0.750, 0.750, 0.750)
Al (0.500, 0.500, 0.500)

Computed properties:
E_tot, eV/atom: -2.271
Calculated volume, Å³/cell: 60.3
Excess energy over the best structure of this formula in the dataset, eV/atom: 0.676
Space group: No. 225


# 4
MgZr2S: relaxed, PBE-GGA.

a b c (Å): 5.576 5.576 8.398
angles (deg): 70.61 70.61 90.00
Atoms (fractional coordinates):
Mg (0.250, 0.750, 0.500)
Zr (0.734, 0.125, 0.250)
Zr (0.016, 0.625, 0.250)
Mg (0.500, 0.500, 0.000)
Zr (0.375, 0.266, 0.750)
S (0.000, 0.000, 0.000)
Zr (0.875, 0.984, 0.750)
S (0.750, 0.250, 0.500)

Computed properties:
E_tot, eV/atom: -5.513
Calculated volume, Å³/cell: 230.6
Excess energy over the best structure of this formula in the dataset, eV/atom: 0.878
Space group: No. 122
Uncorrected formation energy, eV/f.u.: 0.8


Question: Look up the E_tot of the second one.
Answer: -6.413 eV/atom


Question: What is the formula in the first record?
Answer: Mg


Question: The highest calculated volume belongs to which entry?
Answer: Y4Cu3Os


Question: Which formula does entry 3 have?
Answer: Li2AlH